[1]
{
  "formula": "MgCuH3",
  "functional": "PBE-GGA",
  "state": "optimized geometry",
  "m_tot_mub_per_cell": 0.00,
  "spacegroup": "Ama2, No. 40",
  "total_energy_ev_per_atom": -3.23,
  "cell": [[4.434, 0.000, 0.000], [-2.217, 4.048, 0.000], [0.000, 0.000, 5.433]],
  "species": ["Mg", "Mg", "Cu", "Cu", "H", "H", "H", "H", "H", "H"],
  "frac_coords": [[0.505, 0.383, 0.750], [0.121, 0.617, 0.250], [0.811, 0.000, 0.500], [0.811, 0.000, 0.000], [0.772, 0.332, 0.492], [0.772, 0.332, 0.008], [0.034, 0.978, 0.750], [0.440, 0.668, 0.992], [0.440, 0.668, 0.508], [0.056, 0.022, 0.250]]
}


[2]
{
  "formula": "MgCu2H",
  "functional": "PBE-GGA",
  "state": "optimized geometry",
  "m_tot_mub_per_cell": 0.00,
  "spacegroup": "Fm-3m, No. 225",
  "relative_energy_ev_per_fu": 2.193,
  "total_energy_ev_per_atom": -2.67,
  "cell": [[0.000, 2.944, 2.944], [2.944, 0.000, 2.944], [2.944, 2.944, 0.000]],
  "species": ["H", "Mg", "Cu", "Cu"],
  "frac_coords": [[0.000, 0.000, 0.000], [0.500, 0.500, 0.500], [0.250, 0.250, 0.250], [0.750, 0.750, 0.750]]
}


[3]
{
  "formula": "Mg2CuH5",
  "functional": "PBE-GGA",
  "state": "optimized geometry",
  "m_tot_mub_per_cell": 0.00,
  "spacegroup": "Fddd, No. 70",
  "total_energy_ev_per_atom": -3.04,
  "cell": [[4.933, -0.205, 2.053], [-0.644, 4.895, 2.053], [-0.069, -0.076, 7.131]],
  "species": ["Mg", "Mg", "Mg", "Mg", "Cu", "Cu", "H", "H", "H", "H", "H", "H", "H", "H", "H", "H"],
  "frac_coords": [[0.500, 0.000, 0.000], [0.500, 0.500, 0.000], [0.500, 0.500, 0.500], [0.000, 0.500, 0.500], [0.875, 0.125, 0.250], [0.125, 0.875, 0.750], [0.625, 0.375, 0.750], [0.375, 0.625, 0.250], [0.314, 0.802, 0.896], [0.802, 0.790, 0.395], [0.802, 0.314, 0.396], [0.210, 0.198, 0.105], [0.790, 0.802, 0.895], [0.198, 0.210, 0.605], [0.198, 0.686, 0.604], [0.686, 0.198, 0.104]]
}